No. 1
# LiNdTl2F6

A geometry-optimized LiNdTl2F6 structure (PBE, the Alexandria database).

```
data_LiNdTl2F6
_symmetry_space_group_name_H-M 'C 1 2/m 1'
_symmetry_Int_Tables_number 12
_cell_length_a 8.815
_cell_length_b 8.812
_cell_length_c 6.232
_cell_angle_alpha 90.00
_cell_angle_beta 134.87
_cell_angle_gamma 90.00
loop_
_symmetry_equiv_pos_as_xyz
'x,y,z'
'-x,-y,-z'
'-x,y,-z'
'x,-y,z'
'x+1/2,y+1/2,z'
'-x+1/2,-y+1/2,-z'
'-x+1/2,y+1/2,-z'
'x+1/2,-y+1/2,z'
loop_
_atom_site_label
_atom_site_fract_x
_atom_site_fract_y
_atom_site_fract_z
Li1 0.000 0.000 0.000
Nd1 0.000 0.500 0.000
Tl1 0.000 0.248 0.500
F1 0.000 0.241 0.000
F2 0.240 0.000 0.998
F3 0.241 0.000 0.482
```

The uncorrected formation energy comes out at -2.864 eV/atom.



No. 2
# Li2NdZnF8

A geometry-optimized Li2NdZnF8 structure (PBE, the Alexandria database).

```
data_Li2NdZnF8
_symmetry_space_group_name_H-M 'P 1 2/m 1'
_symmetry_Int_Tables_number 10
_cell_length_a 4.281
_cell_length_b 7.093
_cell_length_c 4.979
_cell_angle_alpha 90.00
_cell_angle_beta 93.04
_cell_angle_gamma 90.00
loop_
_symmetry_equiv_pos_as_xyz
'x,y,z'
'-x,-y,-z'
'-x,y,-z'
'x,-y,z'
loop_
_atom_site_label
_atom_site_fract_x
_atom_site_fract_y
_atom_site_fract_z
Li1 0.000 0.211 0.000
Nd1 0.500 0.500 0.500
Zn1 0.500 0.000 0.500
F1 0.073 0.500 0.760
F2 0.165 0.000 0.751
F3 0.348 0.225 0.265
```

The uncorrected formation energy comes out at -2.832 eV/atom.